1.
Here is a geometry-optimized Mn2ZnN structure from Alexandria via LeMat-Bulk. Energies are from PBE.

Cell lengths 5.8925, 5.8925, 5.8925 Å; angles 90.00, 90.00, 90.00 degrees
With the nearest neighbours (Å) after each atom.
Space group Fm-3m (No. 225)
Symmetry-distinct sites (fractional):
Mn1 0.2500 0.2500 0.2500  4 Zn 2.55, 4 N 2.55
Zn1 0.0000 0.0000 0.0000  8 Mn 2.55
N1 0.0000 0.0000 0.5000  8 Mn 2.55

Summary:
**Crystal system**: cubic
**Formation energy from raw total energies**: 0.888 eV/atom
**E_tot**: -6.0964 eV per atom

2.
Here is a geometry-optimized MnZnN2 structure from Alexandria via LeMat-Bulk. Energies are from PBE.

Cell lengths 4.4894, 4.4894, 8.7907 Å; angles 90.00, 90.00, 90.00 degrees
With the nearest neighbours (Å) after each atom.
Space group I-42d (No. 122)
Symmetry-distinct sites (fractional):
Mn1 0.0000 0.0000 0.0000  4 N 1.83
Zn1 0.0000 0.0000 0.5000  4 N 2.05
N1 0.2079 0.2500 0.1250  2 Mn 1.83, 2 Zn 2.05

Summary:
**Crystal system**: tetragonal
**Formation energy from raw total energies**: -0.054 eV/atom
**E_tot**: -6.8278 eV per atom